Here is a relaxed Tb3P2IrRh9 crystal from the Alexandria database. Energies are from PBE.

## Properties
Crystal system: trigonal
Symmetry: P-3m1
E_form in kJ per mole of atoms: -47.20

a = 5.8104 Å, b = 5.8104 Å, c = 9.5198 Å
α = 90.00°, β = 90.00°, γ = 120.00°
Sites, in units of the cell vectors:
Tb 0.0000 0.0000 0.0000
Tb 0.3333 0.6667 0.5997
Tb 0.6667 0.3333 0.4003
P 0.3333 0.6667 0.1567
P 0.6667 0.3333 0.8433
Ir 0.0000 0.0000 0.5000
Rh 0.0000 0.5000 0.0000
Rh 0.1537 0.3073 0.2846
Rh 0.1537 0.8463 0.2846
Rh 0.3073 0.1537 0.7154
Rh 0.5000 0.0000 0.0000
Rh 0.5000 0.5000 0.0000
Rh 0.6927 0.8463 0.2846
Rh 0.8463 0.1537 0.7154
Rh 0.8463 0.6927 0.7154